CeMg2: relaxed, PBE.

Computed properties:
Its energy of formation is 0.090 eV/atom. Its crystal system is hexagonal. For the volume, the calculation gives 245 Å³/cell.

a b c (Å): 7.4952 7.4952 5.0450
angles (deg): 90.00 90.00 120.00
Sites, in units of the cell vectors:
Ce 0.0000 0.4409 0.0000
Ce 0.4409 0.0000 0.0000
Ce 0.5591 0.5591 0.0000
Mg 0.0000 0.0000 0.0000
Mg 0.0000 0.7663 0.5000
Mg 0.2337 0.2337 0.5000
Mg 0.3333 0.6667 0.5000
Mg 0.6667 0.3333 0.5000
Mg 0.7663 0.0000 0.5000